# LiW4Se8 | the Alexandria database | PBE-GGA | optimized geometry
# **Size of the total moment**: 0.0 μB per formula unit
# **Raw formation energy**: -7.97 kcal/mol of atoms
data_LiW4Se8
_chemical_formula_sum 'Li3 W12 Se24'
_cell_length_a 6.6031
_cell_length_b 6.6031
_cell_length_c 22.1943
_cell_angle_alpha 90.00
_cell_angle_beta 90.00
_cell_angle_gamma 120.00
_space_group_name_H-M_alt 'R -3 m'
_space_group_IT_number 166
_space_group_name_Hall '-R 3 2"'
loop_
_atom_site_label
_atom_site_type_symbol
_atom_site_fract_x
_atom_site_fract_y
_atom_site_fract_z
Li1 Li 0.0000 0.0000 0.0000
W1 W 0.0000 0.0000 0.5000
W2 W 0.0000 0.5000 0.5000
Se1 Se 0.0000 0.0000 0.2444
Se2 Se 0.9997 0.4999 0.2450